No. 1
VASP calculation (PBE) on a geometry-optimized NaMg4Cd6 structure.

a = 7.5691 Å, b = 7.5691 Å, c = 7.5691 Å
α = 84.98°, β = 122.94°, γ = 122.94°
With the nearest neighbours (Å) after each atom.
Element x y z (fractional)
Na 0.0000 0.0000 0.0000  8 Cd 3.27-3.62, 4 Mg 3.65
Mg 0.0000 0.2428 0.5623  6 Cd 2.81-3.08
Mg 0.6805 0.4377 0.4377  6 Cd 2.81-3.08
Mg 0.0000 0.5623 0.2428  6 Cd 2.81-3.08
Mg 0.3195 0.7572 0.7572  6 Cd 2.81-3.08
Cd 0.0000 0.9072 0.4307  4 Mg 2.81-3.08
Cd 0.0000 0.4307 0.9072  4 Mg 2.81-3.08
Cd 0.5235 0.0928 0.0928  4 Mg 2.81-3.08
Cd 0.5000 0.0000 0.5000  4 Mg 2.93, 4 Cd 3.18
Cd 0.4765 0.5693 0.5693  4 Mg 2.81-3.08
Cd 0.5000 0.5000 0.0000  4 Mg 2.93, 4 Cd 3.18

Properties
Magnetization (μB/cell): 0.00
ΔE_f (meV/atom): 71


No. 2
VASP calculation (PBE) on a geometry-optimized NaNdMgCd structure.

a = 5.2664 Å, b = 5.2664 Å, c = 5.2664 Å
α = 60.00°, β = 60.00°, γ = 60.00°
With the nearest neighbours (Å) after each atom.
Element x y z (fractional)
Na 0.7500 0.7500 0.7500  4 Mg 3.23, 4 Nd 3.23
Mg 0.5000 0.5000 0.5000  4 Cd 3.23, 4 Na 3.23
Nd 0.0000 0.0000 0.0000  4 Na 3.23, 4 Cd 3.23
Cd 0.2500 0.2500 0.2500  4 Mg 3.23, 4 Nd 3.23

Properties
Magnetization (μB/cell): 0.00
ΔE_f (meV/atom): -98


No. 3
VASP calculation (PBE) on a geometry-optimized NaMgCdPb structure.

a = 5.2134 Å, b = 5.2134 Å, c = 5.2134 Å
α = 60.00°, β = 60.00°, γ = 60.00°
With the nearest neighbours (Å) after each atom.
Element x y z (fractional)
Pb 0.2500 0.2500 0.2500  4 Mg 3.19, 4 Na 3.19
Na 0.0000 0.0000 0.0000  4 Pb 3.19, 4 Cd 3.19
Mg 0.5000 0.5000 0.5000  4 Cd 3.19, 4 Pb 3.19
Cd 0.7500 0.7500 0.7500  4 Na 3.19, 4 Mg 3.19

Properties
Magnetization (μB/cell): 0.00
ΔE_f (meV/atom): -81


No. 4
VASP calculation (PBE) on a geometry-optimized NaMgCdPb structure.

a = 3.5730 Å, b = 3.5730 Å, c = 8.0266 Å
α = 90.00°, β = 90.00°, γ = 90.00°
With the nearest neighbours (Å) after each atom.
Element x y z (fractional)
Na 0.0000 0.0000 0.0881  4 Cd 3.25, 4 Pb 3.42, 4 Na 3.57
Mg 0.0000 0.0000 0.5522  4 Cd 3.03, 4 Pb 3.22
Cd 0.5000 0.5000 0.3437  4 Mg 3.03, 4 Na 3.25
Pb 0.5000 0.5000 0.8007  4 Mg 3.22, 4 Na 3.42, 4 Pb 3.57

Properties
Magnetization (μB/cell): 0.00
ΔE_f (meV/atom): -114


No. 5
VASP calculation (PBE) on a geometry-optimized NaMgCdPb2 structure.

a = 5.5364 Å, b = 5.3352 Å, c = 5.5364 Å
α = 90.00°, β = 90.00°, γ = 90.00°
With the nearest neighbours (Å) after each atom.
Element x y z (fractional)
Pb 0.0000 0.0000 0.5000  2 Na 2.77
Pb 0.5000 0.0000 0.0000  2 Na 2.77
Na 0.0000 0.0000 0.0000  2 Cd 2.67, 4 Pb 2.77
Mg 0.5000 0.5000 0.5000  8 Pb 3.84, 4 Cd 3.91
Cd 0.0000 0.5000 0.0000  2 Na 2.67

Properties
Magnetization (μB/cell): 0.00
ΔE_f (meV/atom): 507


No. 6
VASP calculation (PBE) on a geometry-optimized NaMg2CdPb2 structure.

a = 5.2536 Å, b = 9.3552 Å, c = 6.3843 Å
α = 90.00°, β = 90.00°, γ = 90.00°
With the nearest neighbours (Å) after each atom.
Element x y z (fractional)
Na 0.5000 0.5000 0.0000  2 Cd 3.19, 4 Pb 3.34, 2 Mg 3.55
Na 0.0000 0.0000 0.5000  2 Cd 3.19, 4 Pb 3.34, 2 Mg 3.55
Mg 0.5000 0.1399 0.1759  5 Pb 3.10-3.23, 2 Cd 3.14, 1 Mg 3.45
Mg 0.0000 0.6399 0.3241  5 Pb 3.10-3.23, 2 Cd 3.14, 1 Mg 3.45
Mg 0.5000 0.8601 0.8241  5 Pb 3.10-3.23, 2 Cd 3.14, 1 Mg 3.45
Mg 0.0000 0.3601 0.6759  5 Pb 3.10-3.23, 2 Cd 3.14, 1 Mg 3.45
Cd 0.0000 0.0000 0.0000  4 Mg 3.14, 2 Pb 3.15, 2 Na 3.19
Cd 0.5000 0.5000 0.5000  4 Mg 3.14, 2 Pb 3.15, 2 Na 3.19
Pb 0.5000 0.8149 0.3231  5 Mg 3.10-3.23, 1 Cd 3.15, 2 Na 3.34
Pb 0.5000 0.1851 0.6769  5 Mg 3.10-3.23, 1 Cd 3.15, 2 Na 3.34
Pb 0.0000 0.6851 0.8231  5 Mg 3.10-3.23, 1 Cd 3.15, 2 Na 3.34
Pb 0.0000 0.3149 0.1769  5 Mg 3.10-3.23, 1 Cd 3.15, 2 Na 3.34

Properties
Magnetization (μB/cell): 0.00
ΔE_f (meV/atom): -53


No. 7
VASP calculation (PBE) on a geometry-optimized NaMg2CdPd structure.

a = 5.0316 Å, b = 5.0316 Å, c = 5.2860 Å
α = 90.00°, β = 90.00°, γ = 90.00°
With the nearest neighbours (Å) after each atom.
Element x y z (fractional)
Na 0.5000 0.5000 0.5000  4 Cd 3.56, 8 Mg 3.65
Mg 0.0000 0.5000 0.0000  2 Pd 2.52
Mg 0.5000 0.0000 0.0000  2 Pd 2.52
Pd 0.0000 0.0000 0.0000  4 Mg 2.52, 2 Cd 2.64
Cd 0.0000 0.0000 0.5000  2 Pd 2.64

Properties
Magnetization (μB/cell): 0.00
ΔE_f (meV/atom): -174


No. 8
VASP calculation (PBE) on a geometry-optimized NaMg2CdPt structure.

a = 5.0490 Å, b = 5.0490 Å, c = 5.2941 Å
α = 90.00°, β = 90.00°, γ = 90.00°
With the nearest neighbours (Å) after each atom.
Element x y z (fractional)
Na 0.5000 0.5000 0.5000  4 Cd 3.57, 8 Mg 3.66
Mg 0.0000 0.5000 0.0000  2 Pt 2.52
Mg 0.5000 0.0000 0.0000  2 Pt 2.52
Pt 0.0000 0.0000 0.0000  4 Mg 2.52, 2 Cd 2.65
Cd 0.0000 0.0000 0.5000  2 Pt 2.65

Properties
Magnetization (μB/cell): 0.00
ΔE_f (meV/atom): -282


No. 9
VASP calculation (PBE) on a geometry-optimized RbNaMg2Cd structure.

a = 5.4929 Å, b = 5.4929 Å, c = 6.0669 Å
α = 90.00°, β = 90.00°, γ = 90.00°
With the nearest neighbours (Å) after each atom.
Element x y z (fractional)
Na 0.0000 0.0000 0.5000  2 Cd 3.03
Mg 0.0000 0.5000 0.0000  2 Cd 2.75
Mg 0.5000 0.0000 0.0000  2 Cd 2.75
Rb 0.5000 0.5000 0.5000  4 Na 3.88, 8 Mg 4.09
Cd 0.0000 0.0000 0.0000  4 Mg 2.75, 2 Na 3.03

Properties
Magnetization (μB/cell): 0.00
ΔE_f (meV/atom): 120


No. 10
VASP calculation (PBE) on a geometry-optimized RbNaMgCd structure.

a = 5.8243 Å, b = 5.8243 Å, c = 5.8243 Å
α = 60.00°, β = 60.00°, γ = 60.00°
With the nearest neighbours (Å) after each atom.
Element x y z (fractional)
Na 0.0000 0.0000 0.0000  4 Mg 3.57, 4 Rb 3.57
Mg 0.2500 0.2500 0.2500  4 Cd 3.57, 4 Na 3.57
Rb 0.7500 0.7500 0.7500  4 Cd 3.57, 4 Na 3.57
Cd 0.5000 0.5000 0.5000  4 Mg 3.57, 4 Rb 3.57

Properties
Magnetization (μB/cell): 0.00
ΔE_f (meV/atom): 121


No. 11
VASP calculation (PBE) on a geometry-optimized RbNa2MgCd structure.

a = 6.1821 Å, b = 6.1821 Å, c = 5.5187 Å
α = 90.00°, β = 90.00°, γ = 90.00°
With the nearest neighbours (Å) after each atom.
Element x y z (fractional)
Na 0.0000 0.5000 0.0000  2 Mg 3.09
Na 0.5000 0.0000 0.0000  2 Mg 3.09
Mg 0.0000 0.0000 0.0000  2 Cd 2.76
Rb 0.5000 0.5000 0.5000  8 Na 4.14, 4 Cd 4.37
Cd 0.0000 0.0000 0.5000  2 Mg 2.76

Properties
Magnetization (μB/cell): 0.00
ΔE_f (meV/atom): 130


No. 12
VASP calculation (PBE) on a geometry-optimized RbNa2MgCd structure.

a = 6.0903 Å, b = 6.0903 Å, c = 5.5153 Å
α = 90.00°, β = 90.00°, γ = 90.00°
With the nearest neighbours (Å) after each atom.
Element x y z (fractional)
Na 0.0000 0.5000 0.0000  2 Cd 3.05
Na 0.5000 0.0000 0.0000  2 Cd 3.05
Mg 0.0000 0.0000 0.5000  2 Cd 2.76
Rb 0.5000 0.5000 0.5000  8 Na 4.11, 4 Mg 4.31
Cd 0.0000 0.0000 0.0000  2 Mg 2.76, 4 Na 3.05

Properties
Magnetization (μB/cell): 0.00
ΔE_f (meV/atom): 74


Q: What is the magnetization in the first record?
A: 0.00 μB/cell


Please write out number 3 again, unchanged.
VASP calculation (PBE) on a geometry-optimized NaMgCdPb structure.

a = 5.2134 Å, b = 5.2134 Å, c = 5.2134 Å
α = 60.00°, β = 60.00°, γ = 60.00°
With the nearest neighbours (Å) after each atom.
Element x y z (fractional)
Pb 0.2500 0.2500 0.2500  4 Mg 3.19, 4 Na 3.19
Na 0.0000 0.0000 0.0000  4 Pb 3.19, 4 Cd 3.19
Mg 0.5000 0.5000 0.5000  4 Cd 3.19, 4 Pb 3.19
Cd 0.7500 0.7500 0.7500  4 Na 3.19, 4 Mg 3.19

Properties
Magnetization (μB/cell): 0.00
ΔE_f (meV/atom): -81


Q: Among the records above, which one has the lowest ΔE_f?
A: NaMg2CdPt


Q: What is the ΔE_f in the twelfth record?
A: 74 meV/atom